Below is a PBEsol-optimized structure of Cu10Sb3, with properties calculated at the meta-GGA SCAN level.

a b c (Å): 4.2278 9.9251 9.9251
angles (deg): 120.00 90.00 90.00
Positions (direct):
Cu 0.7500 0.8839 0.0502
Cu 0.7500 0.1663 0.1161
Cu 0.7500 0.9498 0.8337
Cu 0.2500 0.1161 0.9498
Cu 0.2500 0.8337 0.8839
Cu 0.2500 0.0502 0.1663
Cu 0.7500 0.5590 0.9767
Cu 0.7500 0.4176 0.4410
Cu 0.7500 0.0233 0.5824
Cu 0.2500 0.4410 0.0233
Cu 0.2500 0.5824 0.5590
Cu 0.2500 0.9767 0.4176
Cu 0.7500 0.7917 0.2958
Cu 0.7500 0.5041 0.2083
Cu 0.7500 0.7042 0.4959
Cu 0.2500 0.2083 0.7042
Cu 0.2500 0.4959 0.7917
Cu 0.2500 0.2958 0.5041
Cu 0.2500 0.6667 0.3333
Cu 0.7500 0.3333 0.6667
Sb 0.7500 0.6378 0.7442
Sb 0.7500 0.1064 0.3622
Sb 0.7500 0.2558 0.8936
Sb 0.2500 0.3622 0.2558
Sb 0.2500 0.8936 0.6378
Sb 0.2500 0.7442 0.1064

Computed properties:
Formation energy from raw total energies in eV per atom: 0.07
DOS at the Fermi energy in states/eV/cell: 5.05
Space group: No. 176
Theoretical density in g/cm³: 9.21



Below is a PBEsol-optimized structure of TcTeSe2N, with properties calculated at the meta-GGA SCAN level.

a b c (Å): 3.8895 5.2992 5.2992
angles (deg): 90.00 90.00 90.00
Positions (direct):
Te 0.0000 0.0000 0.0000
Tc 0.5000 0.5000 0.5000
Se 0.0000 0.0000 0.5000
Se 0.0000 0.5000 0.0000
N 0.5000 0.0000 0.0000

Computed properties:
Formation energy from raw total energies in eV per atom: 1.31
DOS at the Fermi energy in states/eV/cell: 2.12
Space group: No. 123
Theoretical density in g/cm³: 6.04



Below is a PBEsol-optimized structure of BCSe3, with properties calculated at the meta-GGA SCAN level.

a b c (Å): 4.2912 4.2912 4.2912
angles (deg): 90.00 90.00 90.00
Positions (direct):
C 0.0000 0.0000 0.0000
B 0.5000 0.5000 0.5000
Se 0.0000 0.5000 0.0000
Se 0.0000 0.0000 0.5000
Se 0.5000 0.0000 0.0000

Computed properties:
Formation energy from raw total energies in eV per atom: 1.89
DOS at the Fermi energy in states/eV/cell: 2.51
Space group: No. 221
Theoretical density in g/cm³: 5.46